Version w
## SrOsCl2 (GGA-PBE)

Data for a relaxed structure of SrOsCl2.

Geometry as CIF:
```
data_SrOsCl2
_space_group_name_H-M_alt 'P 1'
_space_group_IT_number 1
_space_group_name_Hall 'P 1'
_cell_length_a 3.409
_cell_length_b 3.409
_cell_length_c 26.491
_cell_angle_alpha 90.00
_cell_angle_beta 90.00
_cell_angle_gamma 120.00
loop_
_atom_site_label
_atom_site_type_symbol
_atom_site_fract_x
_atom_site_fract_y
_atom_site_fract_z
_atom_site_occupancy
Sr1 Sr 0.000 0.000 0.000 1
Sr2 Sr 0.333 0.667 0.667 1
Sr3 Sr 0.667 0.333 0.333 1
Os1 Os 0.000 0.000 0.500 1
Os2 Os 0.333 0.667 0.167 1
Os3 Os 0.667 0.333 0.833 1
Cl1 Cl 0.000 0.000 0.412 1
Cl2 Cl 0.000 0.000 0.588 1
Cl3 Cl 0.333 0.667 0.079 1
Cl4 Cl 0.333 0.667 0.254 1
Cl5 Cl 0.667 0.333 0.746 1
Cl6 Cl 0.667 0.333 0.921 1
```

Version x
## SrOsCl2 (GGA-PBE)

Data for a relaxed structure of SrOsCl2.

Geometry as CIF:
```
data_SrOsCl2
_space_group_name_H-M_alt 'P 1'
_space_group_IT_number 1
_space_group_name_Hall 'P 1'
_cell_length_a 3.344
_cell_length_b 4.085
_cell_length_c 8.248
_cell_angle_alpha 90.00
_cell_angle_beta 101.21
_cell_angle_gamma 90.00
loop_
_atom_site_label
_atom_site_type_symbol
_atom_site_fract_x
_atom_site_fract_y
_atom_site_fract_z
_atom_site_occupancy
Sr1 Sr 0.000 0.000 0.000 1
Os1 Os 0.366 0.500 0.721 1
Cl1 Cl 0.320 0.000 0.625 1
Cl2 Cl 0.587 0.500 0.181 1
```

Version y
## SrOsCl2 (GGA-PBE)

Data for a relaxed structure of SrOsCl2.

Geometry as CIF:
```
data_SrOsCl2
_space_group_name_H-M_alt 'P 1'
_space_group_IT_number 1
_space_group_name_Hall 'P 1'
_cell_length_a 12.992
_cell_length_b 3.990
_cell_length_c 4.957
_cell_angle_alpha 90.00
_cell_angle_beta 93.79
_cell_angle_gamma 90.00
loop_
_atom_site_label
_atom_site_type_symbol
_atom_site_fract_x
_atom_site_fract_y
_atom_site_fract_z
_atom_site_occupancy
Sr1 Sr 0.000 0.000 0.000 1
Sr2 Sr 0.500 0.500 0.000 1
Os1 Os 0.000 0.500 0.500 1
Os2 Os 0.500 0.000 0.500 1
Cl1 Cl 0.151 0.500 0.764 1
Cl2 Cl 0.349 0.000 0.236 1
Cl3 Cl 0.651 0.000 0.764 1
Cl4 Cl 0.849 0.500 0.236 1
```

Version z
## SrOsCl2 (GGA-PBE)

Data for a relaxed structure of SrOsCl2.

Geometry as CIF:
```
data_SrOsCl2
_space_group_name_H-M_alt 'P 1'
_space_group_IT_number 1
_space_group_name_Hall 'P 1'
_cell_length_a 3.337
_cell_length_b 3.337
_cell_length_c 11.196
_cell_angle_alpha 90.00
_cell_angle_beta 90.00
_cell_angle_gamma 90.00
loop_
_atom_site_label
_atom_site_type_symbol
_atom_site_fract_x
_atom_site_fract_y
_atom_site_fract_z
_atom_site_occupancy
Sr1 Sr 0.000 0.000 0.000 1
Os1 Os 0.000 0.000 0.500 1
Cl1 Cl 0.500 0.500 0.152 1
Cl2 Cl 0.500 0.500 0.848 1
```

Most stable: version y (next structure +69 meV/atom)

Version w
## SrOsCl2 (GGA-PBE)

Data for a relaxed structure of SrOsCl2.

Geometry as CIF:
```
data_SrOsCl2
_space_group_name_H-M_alt 'P 1'
_space_group_IT_number 1
_space_group_name_Hall 'P 1'
_cell_length_a 3.422
_cell_length_b 3.422
_cell_length_c 8.301
_cell_angle_alpha 90.00
_cell_angle_beta 90.00
_cell_angle_gamma 90.00
loop_
_atom_site_label
_atom_site_type_symbol
_atom_site_fract_x
_atom_site_fract_y
_atom_site_fract_z
_atom_site_occupancy
Sr1 Sr 0.000 0.000 0.000 1
Os1 Os 0.500 0.500 0.708 1
Cl1 Cl 0.000 0.000 0.632 1
Cl2 Cl 0.500 0.500 0.199 1
```

Version x
## SrOsCl2 (GGA-PBE)

Data for a relaxed structure of SrOsCl2.

Geometry as CIF:
```
data_SrOsCl2
_space_group_name_H-M_alt 'P 1'
_space_group_IT_number 1
_space_group_name_Hall 'P 1'
_cell_length_a 6.358
_cell_length_b 7.248
_cell_length_c 3.900
_cell_angle_alpha 90.00
_cell_angle_beta 90.00
_cell_angle_gamma 90.00
loop_
_atom_site_label
_atom_site_type_symbol
_atom_site_fract_x
_atom_site_fract_y
_atom_site_fract_z
_atom_site_occupancy
Sr1 Sr 0.000 0.000 0.000 1
Sr2 Sr 0.500 0.500 0.000 1
Os1 Os 0.000 0.500 0.000 1
Os2 Os 0.500 0.000 0.000 1
Cl1 Cl 0.000 0.303 0.500 1
Cl2 Cl 0.000 0.697 0.500 1
Cl3 Cl 0.500 0.197 0.500 1
Cl4 Cl 0.500 0.803 0.500 1
```

Version y
## SrOsCl2 (GGA-PBE)

Data for a relaxed structure of SrOsCl2.

Geometry as CIF:
```
data_SrOsCl2
_space_group_name_H-M_alt 'P 1'
_space_group_IT_number 1
_space_group_name_Hall 'P 1'
_cell_length_a 4.799
_cell_length_b 4.799
_cell_length_c 3.929
_cell_angle_alpha 90.00
_cell_angle_beta 90.00
_cell_angle_gamma 90.00
loop_
_atom_site_label
_atom_site_type_symbol
_atom_site_fract_x
_atom_site_fract_y
_atom_site_fract_z
_atom_site_occupancy
Sr1 Sr 0.000 0.000 0.000 1
Os1 Os 0.500 0.500 0.000 1
Cl1 Cl 0.000 0.500 0.500 1
Cl2 Cl 0.500 0.000 0.500 1
```

Most stable: version x (next structure +93 meV/atom)